Pm2SiMoO8 (PBE+U, relaxed); D(E_F) = 3.1 states/eV/f.u.; DFT total energy = -6.993 eV/atom; total magnetization = 4.00 Bohr magnetons per cell
1.0
5.450 0.000 0.000
-2.725 4.720 0.000
0.000 0.000 5.611
Pm Si Mo O
2 1 1 8
direct
0.333 0.667 0.377
0.667 0.333 0.623
0.000 0.000 0.500
0.000 0.000 0.000
0.149 0.297 0.695
0.149 0.851 0.695
0.297 0.149 0.305
0.333 0.667 0.015
0.667 0.333 0.985
0.703 0.851 0.695
0.851 0.149 0.305
0.851 0.703 0.305